A relaxed structure of LaNd4Y3. Source: the Alexandria database, functional PBE-GGA.

abc: 5.165 10.328 10.313
angles: 90.00 90.00 90.00
Fractional coordinates of all 16 atoms:
1 Y 0.564 0.626 0.000
2 Y 0.064 0.624 0.249
3 Y 0.564 0.376 0.251
4 Y 0.064 0.374 0.500
5 Y 0.564 0.376 0.749
6 Y 0.064 0.624 0.751
7 Nd 0.064 0.873 0.000
8 Nd 0.564 0.126 0.000
9 Nd 0.064 0.126 0.250
10 Nd 0.564 0.874 0.250
11 Nd 0.064 0.874 0.500
12 Nd 0.564 0.127 0.500
13 Nd 0.564 0.874 0.750
14 Nd 0.064 0.126 0.750
15 La 0.064 0.377 0.000
16 La 0.564 0.623 0.500

Output
The calculation puts the mass density at 5.932 g/cm3. Its space group is Pmmn. Its energy above the lowest structure with this stoichiometry is 0.00 eV/f.u.


A relaxed structure of LaNd6Y12. Source: the Alexandria database, functional PBE-GGA.

abc: 8.856 9.567 9.567
angles: 69.07 72.03 107.97
Fractional coordinates of all 19 atoms:
1 La 0.000 0.000 0.000
2 Nd 0.421 0.475 0.209
3 Nd 0.053 0.684 0.525
4 Nd 0.369 0.791 0.684
5 Nd 0.579 0.525 0.791
6 Nd 0.947 0.316 0.475
7 Nd 0.631 0.209 0.316
8 Y 0.525 0.842 0.263
9 Y 0.683 0.895 0.842
10 Y 0.789 0.263 0.895
11 Y 0.475 0.158 0.737
12 Y 0.317 0.105 0.158
13 Y 0.211 0.737 0.105
14 Y 0.263 0.421 0.631
15 Y 0.106 0.369 0.052
16 Y 0.158 0.052 0.579
17 Y 0.737 0.579 0.369
18 Y 0.894 0.631 0.948
19 Y 0.842 0.948 0.421

Output
The calculation puts the mass density at 5.415 g/cm3. Its space group is R-3. Its energy above the lowest structure with this stoichiometry is 0.00 eV/f.u.


A relaxed structure of La3NdY4. Source: the Alexandria database, functional PBE-GGA.

abc: 3.496 9.115 9.115
angles: 81.54 78.94 78.94
Fractional coordinates of all 8 atoms:
1 Y 0.634 0.115 0.617
2 Y 0.366 0.885 0.383
3 Y 0.366 0.383 0.885
4 Y 0.634 0.617 0.115
5 Nd 0.500 0.000 0.000
6 La 0.758 0.242 0.242
7 La 0.242 0.758 0.758
8 La 0.000 0.500 0.500

Output
The calculation puts the mass density at 5.476 g/cm3. Its space group is Immm. Its energy above the lowest structure with this stoichiometry is 0.82 eV/f.u.


A relaxed structure of LaNdY2. Source: the Alexandria database, functional PBE-GGA.

abc: 5.803 5.803 5.803
angles: 60.00 60.00 60.00
Fractional coordinates of all 4 atoms:
1 Y 0.250 0.250 0.250
2 Y 0.750 0.750 0.750
3 Nd 0.500 0.500 0.500
4 La 0.000 0.000 0.000

Output
The calculation puts the mass density at 5.541 g/cm3. Its space group is Fm-3m. Its energy above the lowest structure with this stoichiometry is 0.32 eV/f.u.


Number 1: VASP energy -5.401 eV/atom, formation enthalpy at 0 K 2.2 kJ/mol of atoms. Number 2: VASP energy -5.829 eV/atom, formation enthalpy at 0 K 1.8 kJ/mol of atoms. Number 3: VASP energy -5.546 eV/atom, formation enthalpy at 0 K 12.5 kJ/mol of atoms. Number 4: VASP energy -5.567 eV/atom, formation enthalpy at 0 K 8.6 kJ/mol of atoms.